Record 1
## Pm2NdPu3Te6 (PBE)

Data for a relaxed Pm2NdPu3Te6 crystal.

* total energy: -91.38 eV for the cell shown
* space-group type: C2/m
* calculated volume: 31.2 A^3/atom

Cell and atoms, written as POSCAR:
```
Pm2NdPu3Te6
1.0
9.734 -2.219 0.000
9.734 2.219 0.000
-2.149 0.000 8.675
Pm Nd Pu Te
2 1 3 6
Direct
0.167 0.167 0.333 Pm
0.833 0.833 0.667 Pm
0.500 0.500 0.000 Nd
0.166 0.166 0.833 Pu
0.500 0.500 0.500 Pu
0.834 0.834 0.167 Pu
0.001 0.001 0.746 Te
0.332 0.332 0.918 Te
0.334 0.334 0.415 Te
0.666 0.666 0.585 Te
0.668 0.668 0.082 Te
0.999 0.999 0.254 Te
```

***

Record 2
## Pm3Nd2PuTe6 (PBE)

Data for a relaxed Pm3Nd2PuTe6 crystal.

* total energy: -73.45 eV for the cell shown
* space-group type: C2/m
* calculated volume: 31.6 A^3/atom

Cell and atoms, written as POSCAR:
```
Pm3Nd2PuTe6
1.0
9.750 -2.225 0.000
9.750 2.225 0.000
-2.079 0.000 8.736
Pm Nd Pu Te
3 2 1 6
Direct
0.000 0.000 0.000 Pm
0.331 0.331 0.665 Pm
0.669 0.669 0.335 Pm
0.334 0.334 0.168 Nd
0.666 0.666 0.832 Nd
0.000 0.000 0.500 Pu
0.165 0.165 0.581 Te
0.166 0.166 0.085 Te
0.498 0.498 0.747 Te
0.502 0.502 0.253 Te
0.834 0.834 0.915 Te
0.835 0.835 0.419 Te
```

***

Record 3
## PmNd3Pu2Te6 (PBE)

Data for a relaxed PmNd3Pu2Te6 crystal.

* total energy: -82.50 eV for the cell shown
* space-group type: C2/m
* calculated volume: 31.6 A^3/atom

Cell and atoms, written as POSCAR:
```
PmNd3Pu2Te6
1.0
9.758 -2.227 0.000
9.758 2.227 0.000
-2.107 0.000 8.724
Pm Nd Pu Te
1 3 2 6
Direct
0.000 0.000 0.000 Pm
0.000 0.000 0.500 Nd
0.335 0.335 0.166 Nd
0.665 0.665 0.834 Nd
0.334 0.334 0.667 Pu
0.666 0.666 0.333 Pu
0.167 0.167 0.088 Te
0.168 0.168 0.580 Te
0.498 0.498 0.750 Te
0.502 0.502 0.250 Te
0.832 0.832 0.420 Te
0.833 0.833 0.912 Te
```

***

Number 1: total magnetic moment 1.480 μB/atom. Number 2: total magnetic moment 0.504 μB/atom. Number 3: total magnetic moment 0.990 μB/atom.